SmSi2AgPt5, optimized geometry, DFT PBE; ρ = 13.8 g cm⁻³; raw formation energy = -0.71 eV/atom; uncorrected energy = -55.0 eV per formula unit; total magnetic moment = 0.0 μB per formula unit
1.0
4.132 0.000 0.000
0.000 4.132 0.000
0.000 0.000 9.119
Pt Si Ag Sm
5 2 1 1
Cartesian
2.066 2.066 4.560
2.066 0.000 2.368
0.000 2.066 2.368
2.066 0.000 6.751
0.000 2.066 6.751
2.066 2.066 1.157
2.066 2.066 7.962
0.000 0.000 0.000
0.000 0.000 4.560

CePuOsPb, optimized geometry, DFT PBE; ρ = 13.3 g cm⁻³; ΔE_f = -0.205 eV per atom; uncorrected energy = -36.0 eV per formula unit; total magnetic moment = 5.8 μB per formula unit
1.0
-1.689 2.557 1.243
-1.448 0.470 -2.936
-6.595 -5.510 2.371
Ce Os Pb Pu
1 1 1 1
Cartesian
-6.658 -2.738 0.983
-3.760 -3.141 1.352
-0.483 -0.404 0.174
-4.007 -0.523 0.030

Ce3NpSn12, optimized geometry, DFT PBE; ρ = 8.3 g cm⁻³; ΔE_f = -0.447 eV per atom; uncorrected energy = -85.9 eV per formula unit; total magnetic moment = 3.8 μB per formula unit
1.0
-1.111 2.842 -3.593
0.071 -3.686 -2.938
-18.131 -2.955 3.270
Sn Np Ce
12 1 3
Cartesian
-15.874 -4.436 1.400
-9.586 -1.900 -1.631
-2.777 1.059 -1.396
-16.465 -1.172 1.073
-14.150 -2.643 -0.807
-5.022 -1.156 -2.454
-6.746 -2.948 -0.246
-0.520 -0.422 -3.265
-11.905 -0.429 0.250
-2.186 -2.205 -1.068
-7.337 0.316 -0.574
-11.314 -3.693 0.578
0.000 0.000 0.000
-9.066 -1.477 1.635
-4.501 -0.734 0.812
-13.630 -2.221 2.458

Ce2Ge3Au6, optimized geometry, DFT PBE; ρ = 11.9 g cm⁻³; ΔE_f = -0.438 eV per atom; uncorrected energy = -50.2 eV per formula unit; total magnetic moment = 2.0 μB per formula unit
1.0
-3.733 2.337 -0.406
-4.184 -6.609 0.429
1.763 3.951 6.531
Ge Au Ce
3 6 2
Cartesian
-4.526 -3.032 0.070
-0.746 3.680 3.948
-2.749 0.200 2.333
-0.504 -0.554 1.450
-3.526 -0.653 4.566
1.395 3.128 5.170
-1.312 2.412 1.853
-3.312 -5.232 0.339
-3.184 -0.912 -0.068
-2.202 -3.089 2.463
-0.220 0.431 4.497

BeHO2F, optimized geometry, DFT PBE; ρ = 2.4 g cm⁻³; uncorrected energy = -20.2 eV per formula unit; total magnetic moment = 2.0 μB per formula unit
1.0
3.527 0.000 0.000
0.000 3.413 0.000
0.000 0.000 3.527
O F Be H
2 1 1 1
Cartesian
1.764 0.000 0.000
0.000 0.000 1.764
0.000 1.707 0.000
0.000 0.000 0.000
1.764 1.707 1.764

NaCrSeBr2, optimized geometry, DFT PBE; distance to the lowest polymorph of the same formula = 0 meV/atom; ρ = 3.8 g cm⁻³; raw formation energy = -0.67 eV/atom; uncorrected energy = -21.1 eV per formula unit; total magnetic moment = 3.0 μB per formula unit
1.0
-2.997 0.791 -4.343
-1.982 -4.931 0.470
-3.535 1.682 2.746
Br Cr Na Se
2 1 1 1
Cartesian
-0.991 -2.466 0.235
-1.498 0.395 -2.171
0.000 0.000 0.000
-4.257 -1.229 -0.564
-1.768 0.841 1.373

CsPb6Au, optimized geometry, DFT PBE; ρ = 9.2 g cm⁻³; ΔE_f = -0.080 eV per atom; uncorrected energy = -27.0 eV per formula unit; total magnetic moment = 0.0 μB per formula unit
1.0
5.069 0.000 0.000
0.000 5.069 0.000
0.000 0.000 11.008
Pb Au Cs
6 1 1
Cartesian
0.000 2.535 7.278
2.535 2.535 9.296
2.535 0.000 7.278
2.535 0.000 3.730
2.535 2.535 1.712
0.000 2.535 3.730
0.000 0.000 5.504
0.000 0.000 0.000

ErUP2Ir5, optimized geometry, DFT PBE; ρ = 13.4 g cm⁻³; ΔE_f = -0.486 eV per atom; uncorrected energy = -75.3 eV per formula unit; total magnetic moment = 2.5 μB per formula unit
1.0
-2.024 -0.037 -3.467
-2.261 -3.029 1.353
-7.178 7.197 4.114
P U Ir Er
2 1 5 1
Cartesian
-7.237 3.575 1.862
-4.227 0.557 0.138
-3.589 3.599 2.057
-2.531 -0.110 1.479
-6.908 4.279 3.988
-6.790 5.774 1.578
-2.413 1.386 -0.931
-5.732 2.066 1.000
0.000 0.000 0.000